The following is a GGA-PBE calculation of an optimized crystal structure of CoSN2Cl, from Alexandria.

Values from the calculation:
Symmetry: P4/mmm, No. 123
Relative energy among the computed polymorphs in meV/atom: 1029.7
Formation energy without anion corrections in kJ/mol of atoms: 214.79

a = 3.4633 Å, b = 3.4633 Å, c = 7.2489 Å
α = 90.00°, β = 90.00°, γ = 90.00°
With the nearest neighbours (Å) after each atom.
Fractional coordinates of all 5 atoms:
1 Co 0.0000 0.0000 0.0000  4 S 2.45
2 S 0.5000 0.5000 0.0000  4 Co 2.45
3 N 0.0000 0.5000 0.5000  2 Cl 1.73
4 N 0.5000 0.0000 0.5000  2 Cl 1.73
5 Cl 0.5000 0.5000 0.5000  4 N 1.73


The following is a GGA-PBE calculation of an optimized crystal structure of CoSbN2Cl, from Alexandria.

Values from the calculation:
Symmetry: P4/mmm, No. 123
Formation energy without anion corrections in kJ/mol of atoms: 192.27

a = 4.0707 Å, b = 4.0707 Å, c = 4.0604 Å
α = 90.00°, β = 90.00°, γ = 90.00°
With the nearest neighbours (Å) after each atom.
Fractional coordinates of all 5 atoms:
1 Co 0.0000 0.0000 0.0000  2 Cl 2.03
2 Sb 0.5000 0.5000 0.0000  8 N 2.87, 4 Co 2.88
3 N 0.0000 0.5000 0.5000  2 Cl 2.04
4 N 0.5000 0.0000 0.5000  2 Cl 2.04
5 Cl 0.0000 0.0000 0.5000  2 Co 2.03, 4 N 2.04


The following is a GGA-PBE calculation of an optimized crystal structure of CoSe2NCl, from Alexandria.

Values from the calculation:
Symmetry: P4/mmm, No. 123
Relative energy among the computed polymorphs in meV/atom: 0.0
Formation energy without anion corrections in kJ/mol of atoms: 54.50

a = 5.0695 Å, b = 5.0695 Å, c = 3.3523 Å
α = 90.00°, β = 90.00°, γ = 90.00°
With the nearest neighbours (Å) after each atom.
Fractional coordinates of all 5 atoms:
1 Co 0.0000 0.0000 0.0000  2 N 1.68
2 Se 0.0000 0.5000 0.0000  2 Co 2.53
3 Se 0.5000 0.0000 0.0000  2 Co 2.53
4 N 0.0000 0.0000 0.5000  2 Co 1.68
5 Cl 0.5000 0.5000 0.5000  8 Se 3.04, 2 Cl 3.35


The following is a GGA-PBE calculation of an optimized crystal structure of Co2SeNCl, from Alexandria.

Values from the calculation:
Symmetry: P4/mmm, No. 123
Formation energy without anion corrections in kJ/mol of atoms: 54.04

a = 3.5943 Å, b = 3.5943 Å, c = 7.7779 Å
α = 90.00°, β = 90.00°, γ = 90.00°
With the nearest neighbours (Å) after each atom.
Fractional coordinates of all 5 atoms:
1 Co 0.0000 0.5000 0.0000  2 N 1.80
2 Co 0.5000 0.0000 0.0000  2 N 1.80
3 Se 0.0000 0.0000 0.5000  4 Cl 2.54
4 N 0.0000 0.0000 0.0000  4 Co 1.80
5 Cl 0.5000 0.5000 0.5000  4 Se 2.54


Number 1: density of states at the Fermi level 4.190 states/eV/cell. Number 2: density of states at the Fermi level 4.861 states/eV/cell. Number 3: density of states at the Fermi level 3.916 states/eV/cell. Number 4: density of states at the Fermi level 6.139 states/eV/cell.